# Zr2In3Sn2

Crystalline Zr2In3Sn2 at its relaxed geometry (PBE, Alexandria).

```
Zr2In3Sn2
1.0
-2.5813 -0.7247 3.3133
3.1446 -4.7162 -1.3230
5.2599 2.3855 4.6196
In Sn Zr
3 2 2
Direct
0.0000 0.0000 0.0000 In
0.2727 0.5453 0.8625 In
0.7273 0.4547 0.1375 In
0.5847 0.1693 0.6671 Sn
0.4153 0.8307 0.3329 Sn
0.8722 0.7445 0.6259 Zr
0.1278 0.2555 0.3741 Zr
```

The formation energy is -1.14 eV per formula unit. For the volume, the calculation gives 170.7 Å³ per cell.

---

# Zr4In2Sn

Crystalline Zr4In2Sn at its relaxed geometry (PBE, Alexandria).

```
Zr4In2Sn
1.0
5.3091 0.0000 -0.4416
0.0000 5.9438 0.0000
-2.3971 0.0000 10.3903
Sn Zr In
2 8 4
Direct
0.9088 0.2500 0.8387 Sn
0.0912 0.7500 0.1613 Sn
0.6205 0.4946 0.2801 Zr
0.7906 0.2500 0.5611 Zr
0.3795 0.9946 0.7199 Zr
0.3795 0.5054 0.7199 Zr
0.6205 0.0054 0.2801 Zr
0.2094 0.7500 0.4389 Zr
0.9958 0.7500 0.8669 Zr
0.0042 0.2500 0.1331 Zr
0.7891 0.7500 0.5702 In
0.5674 0.7500 0.9973 In
0.4326 0.2500 0.0027 In
0.2109 0.2500 0.4298 In
```

The formation energy is -1.66 eV per formula unit. For the offset from the most stable computed form, the calculation gives 0 meV/atom. For the volume, the calculation gives 321.6 Å³ per cell.

---

# Zr2InSn2

Crystalline Zr2InSn2 at its relaxed geometry (PBE, Alexandria).

```
Zr2InSn2
1.0
-5.2883 -3.2420 -4.5527
-2.1578 -4.5973 5.7803
-2.7443 2.7943 1.1979
In Zr Sn
2 4 4
Direct
0.5000 0.5000 0.0000 In
0.0000 0.0000 0.0000 In
0.8545 0.6455 0.0000 Zr
0.1455 0.3545 0.0000 Zr
0.3545 0.8545 0.0000 Zr
0.6455 0.1455 0.0000 Zr
0.3418 0.1582 0.5000 Sn
0.1582 0.6582 0.5000 Sn
0.6582 0.8418 0.5000 Sn
0.8418 0.3418 0.5000 Sn
```

The formation energy is -1.37 eV per formula unit. For the offset from the most stable computed form, the calculation gives 0 meV/atom. For the volume, the calculation gives 242.5 Å³ per cell.

---

# ZrInSn2

Crystalline ZrInSn2 at its relaxed geometry (PBE, Alexandria).

```
ZrInSn2
1.0
-1.8804 -0.6495 2.5993
1.3348 -0.1710 2.9838
-1.9453 10.4467 3.2641
In Zr Sn
1 1 2
Direct
0.0000 0.0000 0.0000 In
0.5000 0.5000 0.5000 Zr
0.0918 0.0918 0.7246 Sn
0.9082 0.9082 0.2754 Sn
```

The formation energy is -0.58 eV per formula unit. For the volume, the calculation gives 101.6 Å³ per cell.

---

# Zr7InSn3

Crystalline Zr7InSn3 at its relaxed geometry (PBE, Alexandria).

```
Zr7InSn3
1.0
5.4440 -0.1076 -0.1378
-2.5754 7.0860 0.3481
-2.5754 -1.3802 6.9591
Zr Sn In
7 3 1
Direct
0.6699 0.4083 0.9318 Zr
0.8233 0.8232 0.8232 Zr
0.1767 0.1768 0.1768 Zr
0.0000 0.5000 0.5000 Zr
0.3301 0.0682 0.5917 Zr
0.6699 0.9318 0.4083 Zr
0.3301 0.5917 0.0682 Zr
0.5000 0.0000 0.0000 Sn
0.0000 0.7678 0.2322 Sn
0.0000 0.2322 0.7678 Sn
0.5000 0.5000 0.5000 In
```

The formation energy is -1.08 eV per formula unit. For the volume, the calculation gives 266.2 Å³ per cell.

---

# ZrInSn2

Crystalline ZrInSn2 at its relaxed geometry (PBE, Alexandria).

```
ZrInSn2
1.0
3.9433 0.0000 0.0000
0.0000 4.9299 0.0000
0.0000 0.0000 4.9299
Zr In Sn
1 1 2
Direct
0.5000 0.0000 0.0000 Zr
0.5000 0.5000 0.5000 In
0.0000 0.0000 0.5000 Sn
0.0000 0.5000 0.0000 Sn
```

The formation energy is -0.46 eV per formula unit. For the volume, the calculation gives 95.8 Å³ per cell.

---

# Zr4In2Sn

Crystalline Zr4In2Sn at its relaxed geometry (PBE, Alexandria).

```
Zr4In2Sn
1.0
5.1439 0.0000 0.0000
0.0000 5.1439 0.0000
2.5720 2.5720 7.6445
Zr In Sn
4 2 1
Direct
0.5000 0.0000 0.0000 Zr
0.0000 0.5000 0.0000 Zr
0.8205 0.8205 0.3591 Zr
0.1795 0.1795 0.6409 Zr
0.6274 0.6274 0.7453 In
0.3726 0.3726 0.2547 In
0.0000 0.0000 0.0000 Sn
```

The formation energy is 3.95 eV per formula unit. For the offset from the most stable computed form, the calculation gives 801 meV/atom. For the volume, the calculation gives 202.3 Å³ per cell.

---

# ZrInSn2

Crystalline ZrInSn2 at its relaxed geometry (PBE, Alexandria).

```
ZrInSn2
1.0
-0.3055 -4.5259 0.4046
3.4929 -2.6393 -1.2549
3.3466 -2.0398 5.3410
Sn Zr In
2 1 1
Direct
0.0787 0.0787 0.7639 Sn
0.2591 0.2591 0.2228 Sn
0.6672 0.6672 0.9984 Zr
0.4950 0.4950 0.5150 In
```

The formation energy is 0.07 eV per formula unit. For the volume, the calculation gives 109.2 Å³ per cell.

---

# ZrIn2Sn2

Crystalline ZrIn2Sn2 at its relaxed geometry (PBE, Alexandria).

```
ZrIn2Sn2
1.0
7.8091 0.0000 0.0000
0.0000 7.8091 0.0000
0.0000 0.0000 4.1748
In Zr Sn
4 2 4
Direct
0.3357 0.1643 0.5000 In
0.1643 0.6643 0.5000 In
0.8357 0.3357 0.5000 In
0.6643 0.8357 0.5000 In
0.5000 0.5000 0.0000 Zr
0.0000 0.0000 0.0000 Zr
0.3585 0.8585 0.0000 Sn
0.6415 0.1415 0.0000 Sn
0.8585 0.6415 0.0000 Sn
0.1415 0.3585 0.0000 Sn
```

The formation energy is 0.23 eV per formula unit. For the volume, the calculation gives 254.6 Å³ per cell.

---

# Zr8InSn2

Crystalline Zr8InSn2 at its relaxed geometry (PBE, Alexandria).

```
Zr8InSn2
1.0
5.3383 -0.3405 -0.5111
-1.3607 7.7497 -0.6946
-1.3607 -3.6258 6.8843
Sn Zr In
2 8 1
Direct
0.0000 0.3058 0.6942 Sn
0.0000 0.6942 0.3058 Sn
0.8498 0.6844 0.9085 Zr
0.5000 0.7791 0.2209 Zr
0.7044 0.4126 0.4126 Zr
0.1502 0.0915 0.3156 Zr
0.1502 0.3156 0.0915 Zr
0.5000 0.2209 0.7791 Zr
0.8498 0.9085 0.6844 Zr
0.2956 0.5874 0.5874 Zr
0.5000 0.0000 0.0000 In
```

The formation energy is -1.51 eV per formula unit. For the volume, the calculation gives 259.9 Å³ per cell.

---

# ZrInSn2

Crystalline ZrInSn2 at its relaxed geometry (PBE, Alexandria).

```
ZrInSn2
1.0
3.9217 0.0000 0.0000
0.0000 3.9217 0.0000
0.0000 0.0000 6.2466
In Zr Sn
1 1 2
Direct
0.5000 0.5000 0.5000 In
0.5000 0.5000 0.0000 Zr
0.0000 0.0000 0.7609 Sn
0.0000 0.0000 0.2391 Sn
```

The formation energy is -0.91 eV per formula unit. For the volume, the calculation gives 96.1 Å³ per cell.

---

# Zr6InSn3

Crystalline Zr6InSn3 at its relaxed geometry (PBE, Alexandria).

```
Zr6InSn3
1.0
7.6488 0.0000 -0.0624
0.0000 7.4915 0.0000
0.0183 0.0000 8.4228
Zr Sn In
12 6 2
Direct
0.2003 0.6245 0.7485 Zr
0.3537 0.8493 0.0548 Zr
0.2997 0.1245 0.7515 Zr
0.6463 0.1507 0.9452 Zr
0.1463 0.3493 0.4452 Zr
0.7003 0.8755 0.2485 Zr
0.3427 0.8492 0.4421 Zr
0.7997 0.3755 0.2515 Zr
0.1573 0.3492 0.0579 Zr
0.8427 0.6508 0.9421 Zr
0.8537 0.6507 0.5548 Zr
0.6573 0.1508 0.5579 Zr
0.0000 0.0000 0.5000 Sn
0.0592 0.6748 0.2443 Sn
0.9408 0.3252 0.7557 Sn
0.4408 0.1748 0.2557 Sn
0.5592 0.8252 0.7443 Sn
0.5000 0.5000 0.0000 Sn
0.5000 0.5000 0.5000 In
0.0000 0.0000 0.0000 In
```

The formation energy is -2.01 eV per formula unit. For the volume, the calculation gives 482.6 Å³ per cell.

---

Magnetization for every record listed, in sequence, given in μB per cell: 0.00; 0.00; 0.25; 0.00; 3.05; 0.00; 0.00; 0.00; 0.00; 0.00; 0.00; 0.00.